Record 1
# Si2IrBr | the Alexandria database | GGA-PBE | relaxed
data_Si2IrBr
_symmetry_space_group_name_H-M 'P 1'
_symmetry_Int_Tables_number 1
_symmetry_space_group_name_Hall 'P 1'
_cell_length_a 4.8922
_cell_length_b 3.7265
_cell_length_c 3.7265
_cell_angle_alpha 90.00
_cell_angle_beta 90.00
_cell_angle_gamma 90.00
loop_
_atom_site_label
_atom_site_type_symbol
_atom_site_fract_x
_atom_site_fract_y
_atom_site_fract_z
Si1 Si 0.0000 0.5000 0.5000
Br1 Br 0.5000 0.5000 0.0000
Si2 Si 0.0000 0.0000 0.0000
Ir1 Ir 0.5000 0.0000 0.5000
# crystal system = tetragonal
# raw total energy = -4.4697 eV per atom
# N(E_F) = 2.9 states/eV/f.u.
# energy relative to the elements, uncorrected = 0.8753 eV/atom

---

Record 2
# Si2IrBr | the Alexandria database | GGA-PBE | relaxed
data_Si2IrBr
_symmetry_space_group_name_H-M 'P 1'
_symmetry_Int_Tables_number 1
_symmetry_space_group_name_Hall 'P 1'
_cell_length_a 4.4082
_cell_length_b 4.4082
_cell_length_c 9.2543
_cell_angle_alpha 57.56
_cell_angle_beta 57.56
_cell_angle_gamma 44.73
loop_
_atom_site_label
_atom_site_type_symbol
_atom_site_fract_x
_atom_site_fract_y
_atom_site_fract_z
Ir1 Ir 0.1891 0.1891 0.0673
Br1 Br 0.6360 0.6360 0.4402
Si1 Si 0.8567 0.8567 0.1372
Si2 Si 0.8182 0.8182 0.8553
# crystal system = monoclinic
# raw total energy = -5.3418 eV per atom
# N(E_F) = 1.2 states/eV/f.u.
# energy relative to the elements, uncorrected = 0.0032 eV/atom

---

Record 3
# SiIr3Br | the Alexandria database | GGA-PBE | relaxed
data_SiIr3Br
_symmetry_space_group_name_H-M 'P 1'
_symmetry_Int_Tables_number 1
_symmetry_space_group_name_Hall 'P 1'
_cell_length_a 4.6393
_cell_length_b 4.6393
_cell_length_c 4.6393
_cell_angle_alpha 90.00
_cell_angle_beta 90.00
_cell_angle_gamma 90.00
loop_
_atom_site_label
_atom_site_type_symbol
_atom_site_fract_x
_atom_site_fract_y
_atom_site_fract_z
Ir1 Ir 0.0000 0.5000 0.0000
Si1 Si 0.5000 0.5000 0.5000
Ir2 Ir 0.0000 0.0000 0.5000
Ir3 Ir 0.5000 0.0000 0.0000
Br1 Br 0.0000 0.0000 0.0000
# crystal system = cubic
# raw total energy = -4.7207 eV per atom
# N(E_F) = 8.3 states/eV/f.u.
# energy relative to the elements, uncorrected = 2.0151 eV/atom

---

Record 4
# Si2IrBr | the Alexandria database | GGA-PBE | relaxed
data_Si2IrBr
_symmetry_space_group_name_H-M 'P 1'
_symmetry_Int_Tables_number 1
_symmetry_space_group_name_Hall 'P 1'
_cell_length_a 5.8076
_cell_length_b 5.8076
_cell_length_c 5.8076
_cell_angle_alpha 150.51
_cell_angle_beta 132.79
_cell_angle_gamma 56.65
loop_
_atom_site_label
_atom_site_type_symbol
_atom_site_fract_x
_atom_site_fract_y
_atom_site_fract_z
Si1 Si 0.7809 0.2809 0.5000
Si2 Si 0.0353 0.0353 0.0000
Ir1 Ir 0.2181 0.7181 0.5000
Br1 Br 0.4658 0.4658 0.0000
# crystal system = orthorhombic
# raw total energy = -4.9238 eV per atom
# N(E_F) = 1.1 states/eV/f.u.
# energy relative to the elements, uncorrected = 0.4211 eV/atom

---

Record 5
# SiIr3Br | the Alexandria database | GGA-PBE | relaxed
data_SiIr3Br
_symmetry_space_group_name_H-M 'P 1'
_symmetry_Int_Tables_number 1
_symmetry_space_group_name_Hall 'P 1'
_cell_length_a 4.5252
_cell_length_b 4.5252
_cell_length_c 4.5252
_cell_angle_alpha 90.00
_cell_angle_beta 90.00
_cell_angle_gamma 90.00
loop_
_atom_site_label
_atom_site_type_symbol
_atom_site_fract_x
_atom_site_fract_y
_atom_site_fract_z
Ir1 Ir 0.0000 0.0000 0.5000
Br1 Br 0.5000 0.5000 0.5000
Ir2 Ir 0.5000 0.0000 0.0000
Si1 Si 0.0000 0.0000 0.0000
Ir3 Ir 0.0000 0.5000 0.0000
# crystal system = cubic
# raw total energy = -5.5838 eV per atom
# N(E_F) = 9.5 states/eV/f.u.
# energy relative to the elements, uncorrected = 1.1520 eV/atom

---

Record 6
# Si2IrBr | the Alexandria database | GGA-PBE | relaxed
data_Si2IrBr
_symmetry_space_group_name_H-M 'P 1'
_symmetry_Int_Tables_number 1
_symmetry_space_group_name_Hall 'P 1'
_cell_length_a 4.4778
_cell_length_b 4.4771
_cell_length_c 4.4783
_cell_angle_alpha 69.82
_cell_angle_beta 71.92
_cell_angle_gamma 110.18
loop_
_atom_site_label
_atom_site_type_symbol
_atom_site_fract_x
_atom_site_fract_y
_atom_site_fract_z
Br1 Br 0.0000 0.5000 0.5000
Ir1 Ir 0.5000 0.5000 0.0000
Si1 Si 0.0000 0.0000 0.0000
Si2 Si 0.5000 0.0000 0.5000
# crystal system = tetragonal
# raw total energy = -4.9354 eV per atom
# N(E_F) = 0.8 states/eV/f.u.
# energy relative to the elements, uncorrected = 0.4096 eV/atom

---

Record 7
# Si2IrBr | the Alexandria database | GGA-PBE | relaxed
data_Si2IrBr
_symmetry_space_group_name_H-M 'P 1'
_symmetry_Int_Tables_number 1
_symmetry_space_group_name_Hall 'P 1'
_cell_length_a 4.7574
_cell_length_b 4.7574
_cell_length_c 2.9183
_cell_angle_alpha 90.00
_cell_angle_beta 90.00
_cell_angle_gamma 90.18
loop_
_atom_site_label
_atom_site_type_symbol
_atom_site_fract_x
_atom_site_fract_y
_atom_site_fract_z
Ir1 Ir 0.0000 0.5000 0.5000
Si1 Si 0.0000 0.0000 0.0000
Si2 Si 0.5000 0.5000 0.0000
Br1 Br 0.5000 0.0000 0.5000
# crystal system = orthorhombic
# raw total energy = -4.7460 eV per atom
# N(E_F) = 2.0 states/eV/f.u.
# energy relative to the elements, uncorrected = 0.5990 eV/atom

---

Record 8
# Si2IrBr | the Alexandria database | GGA-PBE | relaxed
data_Si2IrBr
_symmetry_space_group_name_H-M 'P 1'
_symmetry_Int_Tables_number 1
_symmetry_space_group_name_Hall 'P 1'
_cell_length_a 2.9058
_cell_length_b 3.3968
_cell_length_c 7.7614
_cell_angle_alpha 90.00
_cell_angle_beta 90.00
_cell_angle_gamma 90.00
loop_
_atom_site_label
_atom_site_type_symbol
_atom_site_fract_x
_atom_site_fract_y
_atom_site_fract_z
Ir1 Ir 0.5000 0.5000 0.8290
Si1 Si 0.5000 0.5000 0.1547
Si2 Si 0.0000 0.0000 0.9687
Br1 Br 0.0000 0.0000 0.5476
# crystal system = orthorhombic
# raw total energy = -5.1199 eV per atom
# N(E_F) = 1.9 states/eV/f.u.
# energy relative to the elements, uncorrected = 0.2251 eV/atom

---

Record 9
# Si3IrBr | the Alexandria database | GGA-PBE | relaxed
data_Si3IrBr
_symmetry_space_group_name_H-M 'P 1'
_symmetry_Int_Tables_number 1
_symmetry_space_group_name_Hall 'P 1'
_cell_length_a 4.7077
_cell_length_b 4.7077
_cell_length_c 4.7077
_cell_angle_alpha 90.00
_cell_angle_beta 90.00
_cell_angle_gamma 90.00
loop_
_atom_site_label
_atom_site_type_symbol
_atom_site_fract_x
_atom_site_fract_y
_atom_site_fract_z
Si1 Si 0.0000 0.0000 0.5000
Br1 Br 0.5000 0.5000 0.5000
Si2 Si 0.0000 0.5000 0.0000
Si3 Si 0.5000 0.0000 0.0000
Ir1 Ir 0.0000 0.0000 0.0000
# crystal system = cubic
# raw total energy = -5.1037 eV per atom
# N(E_F) = 4.6 states/eV/f.u.
# energy relative to the elements, uncorrected = 0.2568 eV/atom

---

Record 10
# SiIrBr3 | the Alexandria database | GGA-PBE | relaxed
data_SiIrBr3
_symmetry_space_group_name_H-M 'P 1'
_symmetry_Int_Tables_number 1
_symmetry_space_group_name_Hall 'P 1'
_cell_length_a 5.0589
_cell_length_b 5.0589
_cell_length_c 5.0589
_cell_angle_alpha 90.00
_cell_angle_beta 90.00
_cell_angle_gamma 90.00
loop_
_atom_site_label
_atom_site_type_symbol
_atom_site_fract_x
_atom_site_fract_y
_atom_site_fract_z
Br1 Br 0.0000 0.0000 0.5000
Ir1 Ir 0.0000 0.0000 0.0000
Br2 Br 0.5000 0.0000 0.0000
Si1 Si 0.5000 0.5000 0.5000
Br3 Br 0.0000 0.5000 0.0000
# crystal system = cubic
# raw total energy = -3.2186 eV per atom
# N(E_F) = 2.8 states/eV/f.u.
# energy relative to the elements, uncorrected = 0.6419 eV/atom

---

Record 11
# Si2IrBr | the Alexandria database | GGA-PBE | relaxed
data_Si2IrBr
_symmetry_space_group_name_H-M 'P 1'
_symmetry_Int_Tables_number 1
_symmetry_space_group_name_Hall 'P 1'
_cell_length_a 4.5562
_cell_length_b 4.5562
_cell_length_c 4.5562
_cell_angle_alpha 60.00
_cell_angle_beta 60.00
_cell_angle_gamma 60.00
loop_
_atom_site_label
_atom_site_type_symbol
_atom_site_fract_x
_atom_site_fract_y
_atom_site_fract_z
Si1 Si 0.7500 0.7500 0.7500
Br1 Br 0.0000 0.0000 0.0000
Ir1 Ir 0.5000 0.5000 0.5000
Si2 Si 0.2500 0.2500 0.2500
# crystal system = cubic
# raw total energy = -4.5653 eV per atom
# N(E_F) = 1.8 states/eV/f.u.
# energy relative to the elements, uncorrected = 0.7797 eV/atom

---

Record 12
# Si2IrBr | the Alexandria database | GGA-PBE | relaxed
data_Si2IrBr
_symmetry_space_group_name_H-M 'P 1'
_symmetry_Int_Tables_number 1
_symmetry_space_group_name_Hall 'P 1'
_cell_length_a 6.0635
_cell_length_b 6.0635
_cell_length_c 6.0635
_cell_angle_alpha 152.66
_cell_angle_beta 135.46
_cell_angle_gamma 53.06
loop_
_atom_site_label
_atom_site_type_symbol
_atom_site_fract_x
_atom_site_fract_y
_atom_site_fract_z
Ir1 Ir 0.2500 0.7500 0.5000
Si1 Si 0.4470 0.4470 0.0000
Si2 Si 0.0530 0.0530 0.0000
Br1 Br 0.7500 0.2500 0.5000
# crystal system = orthorhombic
# raw total energy = -4.8463 eV per atom
# N(E_F) = 2.0 states/eV/f.u.
# energy relative to the elements, uncorrected = 0.4987 eV/atom

---

Record 13
# SiIr2Br2 | the Alexandria database | GGA-PBE | relaxed
data_SiIr2Br2
_symmetry_space_group_name_H-M 'P 1'
_symmetry_Int_Tables_number 1
_symmetry_space_group_name_Hall 'P 1'
_cell_length_a 4.2230
_cell_length_b 4.2230
_cell_length_c 6.4676
_cell_angle_alpha 70.95
_cell_angle_beta 70.95
_cell_angle_gamma 90.00
loop_
_atom_site_label
_atom_site_type_symbol
_atom_site_fract_x
_atom_site_fract_y
_atom_site_fract_z
Ir1 Ir 0.6024 0.6024 0.7952
Si1 Si 0.0000 0.0000 0.0000
Br1 Br 0.2500 0.7500 0.5000
Ir2 Ir 0.3976 0.3976 0.2048
Br2 Br 0.7500 0.2500 0.5000
# crystal system = tetragonal
# raw total energy = -4.1804 eV per atom
# N(E_F) = 5.0 states/eV/f.u.
# energy relative to the elements, uncorrected = 1.1177 eV/atom

---

Record 14
# SiIr2Br2 | the Alexandria database | GGA-PBE | relaxed
data_SiIr2Br2
_symmetry_space_group_name_H-M 'P 1'
_symmetry_Int_Tables_number 1
_symmetry_space_group_name_Hall 'P 1'
_cell_length_a 6.2116
_cell_length_b 6.2116
_cell_length_c 5.1106
_cell_angle_alpha 90.00
_cell_angle_beta 90.00
_cell_angle_gamma 90.00
loop_
_atom_site_label
_atom_site_type_symbol
_atom_site_fract_x
_atom_site_fract_y
_atom_site_fract_z
Br1 Br 0.3211 0.8211 0.5000
Si1 Si 0.0000 0.0000 0.0000
Ir1 Ir 0.1490 0.3510 0.0000
Br2 Br 0.8211 0.6789 0.5000
Br3 Br 0.1789 0.3211 0.5000
Ir2 Ir 0.6490 0.1490 0.0000
Ir3 Ir 0.3510 0.8510 0.0000
Si2 Si 0.5000 0.5000 0.0000
Br4 Br 0.6789 0.1789 0.5000
Ir4 Ir 0.8510 0.6490 0.0000
# crystal system = tetragonal
# raw total energy = -5.0833 eV per atom
# N(E_F) = 2.3 states/eV/f.u.
# energy relative to the elements, uncorrected = 0.2149 eV/atom

---

Record 15
# Si2IrBr | the Alexandria database | GGA-PBE | relaxed
data_Si2IrBr
_symmetry_space_group_name_H-M 'P 1'
_symmetry_Int_Tables_number 1
_symmetry_space_group_name_Hall 'P 1'
_cell_length_a 2.9602
_cell_length_b 4.5957
_cell_length_c 4.8159
_cell_angle_alpha 90.00
_cell_angle_beta 90.00
_cell_angle_gamma 90.00
loop_
_atom_site_label
_atom_site_type_symbol
_atom_site_fract_x
_atom_site_fract_y
_atom_site_fract_z
Si1 Si 0.5000 0.5000 0.0000
Br1 Br 0.5000 0.0000 0.5000
Si2 Si 0.0000 0.0000 0.0000
Ir1 Ir 0.0000 0.5000 0.5000
# crystal system = orthorhombic
# raw total energy = -4.5960 eV per atom
# N(E_F) = 1.5 states/eV/f.u.
# energy relative to the elements, uncorrected = 0.7489 eV/atom

---

Record 16
# SiIr4Br | the Alexandria database | GGA-PBE | relaxed
data_SiIr4Br
_symmetry_space_group_name_H-M 'P 1'
_symmetry_Int_Tables_number 1
_symmetry_space_group_name_Hall 'P 1'
_cell_length_a 5.2991
_cell_length_b 5.2991
_cell_length_c 5.2991
_cell_angle_alpha 60.00
_cell_angle_beta 60.00
_cell_angle_gamma 60.00
loop_
_atom_site_label
_atom_site_type_symbol
_atom_site_fract_x
_atom_site_fract_y
_atom_site_fract_z
Ir1 Ir 0.3755 0.8734 0.3755
Ir2 Ir 0.8734 0.3755 0.3755
Ir3 Ir 0.3755 0.3755 0.8734
Si1 Si 0.7500 0.7500 0.7500
Br1 Br 0.0000 0.0000 0.0000
Ir4 Ir 0.3755 0.3755 0.3755
# crystal system = cubic
# raw total energy = -6.0146 eV per atom
# N(E_F) = 12.5 states/eV/f.u.
# energy relative to the elements, uncorrected = 1.0754 eV/atom

---

Record 17
# Sm4SiIrBr2 | the Alexandria database | GGA-PBE | relaxed
data_Sm4SiIrBr2
_symmetry_space_group_name_H-M 'P 1'
_symmetry_Int_Tables_number 1
_symmetry_space_group_name_Hall 'P 1'
_cell_length_a 4.1218
_cell_length_b 7.7690
_cell_length_c 7.4749
_cell_angle_alpha 72.78
_cell_angle_beta 90.00
_cell_angle_gamma 90.00
loop_
_atom_site_label
_atom_site_type_symbol
_atom_site_fract_x
_atom_site_fract_y
_atom_site_fract_z
Sm1 Sm 0.5000 0.2996 0.7466
Sm2 Sm 0.5000 0.7004 0.2534
Ir1 Ir 0.5000 0.5000 0.0000
Br1 Br 0.0000 0.0000 0.0000
Si1 Si 0.0000 0.5000 0.5000
Sm3 Sm 0.0000 0.3022 0.2241
Sm4 Sm 0.0000 0.6978 0.7759
Br2 Br 0.5000 0.0000 0.5000
# crystal system = monoclinic
# raw total energy = -5.5956 eV per atom
# N(E_F) = 6.2 states/eV/f.u.
# energy relative to the elements, uncorrected = -1.0323 eV/atom

---

Record 18
# Sm6Si2IrBr3 | the Alexandria database | GGA-PBE | relaxed
data_Sm6Si2IrBr3
_symmetry_space_group_name_H-M 'P 1'
_symmetry_Int_Tables_number 1
_symmetry_space_group_name_Hall 'P 1'
_cell_length_a 4.1548
_cell_length_b 8.9198
_cell_length_c 9.7043
_cell_angle_alpha 105.21
_cell_angle_beta 102.36
_cell_angle_gamma 90.00
loop_
_atom_site_label
_atom_site_type_symbol
_atom_site_fract_x
_atom_site_fract_y
_atom_site_fract_z
Sm1 Sm 0.6764 0.5642 0.3527
Sm2 Sm 0.0075 0.2177 0.0149
Sm3 Sm 0.3478 0.8933 0.6956
Sm4 Sm 0.6522 0.1067 0.3044
Si1 Si 0.8342 0.6612 0.6685
Sm5 Sm 0.3236 0.4358 0.6473
Br1 Br 0.1741 0.8343 0.3481
Sm6 Sm 0.9925 0.7823 0.9851
Ir1 Ir 0.5000 0.0000 0.0000
Br2 Br 0.8259 0.1657 0.6519
Si2 Si 0.1658 0.3388 0.3315
Br3 Br 0.5000 0.5000 0.0000
# crystal system = monoclinic
# raw total energy = -5.4622 eV per atom
# N(E_F) = 7.3 states/eV/f.u.
# energy relative to the elements, uncorrected = -1.0422 eV/atom

---

Record 19
# Sm8Si3IrBr4 | the Alexandria database | GGA-PBE | relaxed
data_Sm8Si3IrBr4
_symmetry_space_group_name_H-M 'P 1'
_symmetry_Int_Tables_number 1
_symmetry_space_group_name_Hall 'P 1'
_cell_length_a 8.4494
_cell_length_b 8.7612
_cell_length_c 8.4489
_cell_angle_alpha 118.85
_cell_angle_beta 120.00
_cell_angle_gamma 90.00
loop_
_atom_site_label
_atom_site_type_symbol
_atom_site_fract_x
_atom_site_fract_y
_atom_site_fract_z
Br1 Br 0.0000 0.0000 0.5000
Br2 Br 0.5000 0.0000 0.0000
Si1 Si 0.5000 0.5000 0.5000
Sm1 Sm 0.7695 0.2954 0.5391
Sm2 Sm 0.7372 0.7112 0.4743
Sm3 Sm 0.2302 0.7044 0.9744
Br3 Br 0.5000 0.0000 0.5000
Sm4 Sm 0.7698 0.2956 0.0256
Sm5 Sm 0.2305 0.7046 0.4609
Sm6 Sm 0.2628 0.2888 0.5257
Br4 Br 0.0000 0.0000 0.0000
Si2 Si 0.0000 0.5000 0.5000
Ir1 Ir 0.0000 0.5000 0.0000
Si3 Si 0.5000 0.5000 0.0000
Sm7 Sm 0.2559 0.2956 0.0256
Sm8 Sm 0.7441 0.7044 0.9744
# crystal system = trigonal
# raw total energy = -5.3870 eV per atom
# N(E_F) = 10.0 states/eV/f.u.
# energy relative to the elements, uncorrected = -1.0385 eV/atom

---

Record 20
# Sr2SiIrBr | the Alexandria database | GGA-PBE | relaxed
data_Sr2SiIrBr
_symmetry_space_group_name_H-M 'P 1'
_symmetry_Int_Tables_number 1
_symmetry_space_group_name_Hall 'P 1'
_cell_length_a 5.6672
_cell_length_b 4.8590
_cell_length_c 5.6672
_cell_angle_alpha 90.00
_cell_angle_beta 90.00
_cell_angle_gamma 90.00
loop_
_atom_site_label
_atom_site_type_symbol
_atom_site_fract_x
_atom_site_fract_y
_atom_site_fract_z
Sr1 Sr 0.5000 0.0000 0.0000
Br1 Br 0.0000 0.0000 0.0000
Si1 Si 0.0000 0.5000 0.0000
Ir1 Ir 0.5000 0.5000 0.5000
Sr2 Sr 0.0000 0.0000 0.5000
# crystal system = tetragonal
# raw total energy = -3.3650 eV per atom
# N(E_F) = 3.9 states/eV/f.u.
# energy relative to the elements, uncorrected = 0.4991 eV/atom